No. 1
Material: Pm2TmHfP4
Method: DFT, PBE
State: optimized geometry

Geometry as extended XYZ:
```
8
Lattice="6.8605 0.0000 0.0000 0.0000 3.9572 0.0000 -2.2663 0.0000 6.4975" Properties=species:S:1:pos:R:3 pbc="T T T"
Pm 0.0000 0.0000 0.0000
Pm 3.4303 1.9786 0.0000
Tm -1.1332 1.9786 3.2487
Hf 2.2971 0.0000 3.2487
P 0.0729 0.0000 4.7560
P 1.2006 1.9786 1.7715
P 3.3936 1.9786 4.7260
P 4.5213 0.0000 1.7414
```

## Properties
total energy: -7.20 eV per atom

---

No. 2
Material: La2Tb3DyTm6
Method: DFT, PBE
State: optimized geometry

Geometry as extended XYZ:
```
12
Lattice="3.0838 -5.3382 0.0000 3.0838 5.3382 0.0000 -2.0482 0.0000 11.5270" Properties=species:S:1:pos:R:3 pbc="T T T"
La 3.0838 3.5613 0.0000
La 3.0838 -3.5613 0.0000
Tb -1.0241 0.0000 5.7635
Tb 2.0597 1.7790 5.7635
Tb 2.0597 -1.7790 5.7635
Dy 3.0838 0.0000 0.0000
Tm 0.0053 1.7741 8.6034
Tm 1.0401 0.0000 2.9257
Tm 0.0053 -1.7741 8.6034
Tm 4.1141 1.7741 2.9236
Tm 3.0793 0.0000 8.6013
Tm 4.1141 -1.7741 2.9236
```

## Properties
total energy: -4.57 eV per atom

---

No. 3
Material: LuZnPdRu
Method: DFT, PBE
State: optimized geometry

Geometry as extended XYZ:
```
16
Lattice="6.4203 0.0000 0.0000 0.0000 6.4203 0.0000 0.0000 0.0000 6.4203" Properties=species:S:1:pos:R:3 pbc="T T T"
Lu 0.0000 0.0000 0.0000
Lu 0.0000 3.2102 3.2102
Lu 3.2102 0.0000 3.2102
Lu 3.2102 3.2102 0.0000
Zn 0.0000 0.0000 3.2102
Zn 0.0000 3.2102 0.0000
Zn 3.2102 0.0000 0.0000
Zn 3.2102 3.2102 3.2102
Pd 1.6051 1.6051 4.8152
Pd 1.6051 4.8152 1.6051
Pd 4.8152 1.6051 1.6051
Pd 4.8152 4.8152 4.8152
Ru 1.6051 1.6051 1.6051
Ru 1.6051 4.8152 4.8152
Ru 4.8152 1.6051 4.8152
Ru 4.8152 4.8152 1.6051
```

## Properties
total energy: -5.54 eV per atom

---

No. 4
Material: CdSbN2F
Method: DFT, PBE
State: optimized geometry

Geometry as extended XYZ:
```
5
Lattice="4.1225 0.0000 0.0000 0.0000 4.1225 0.0000 0.0000 0.0000 4.1691" Properties=species:S:1:pos:R:3 pbc="T T T"
Cd 0.0000 0.0000 0.0000
Sb 2.0612 2.0612 2.0845
N 0.0000 2.0612 2.0845
N 2.0612 0.0000 2.0845
F 2.0612 2.0612 0.0000
```

## Properties
energy relative to the elements, uncorrected: 0.31 eV/atom
energy above the most stable polymorph in this dataset: 0.0 meV per atom

---

No. 5
Material: LiScCr2
Method: DFT, PBE
State: optimized geometry

Geometry as extended XYZ:
```
4
Lattice="2.7132 0.0000 0.0000 0.0000 3.8908 0.0000 -1.3038 0.0000 5.6899" Properties=species:S:1:pos:R:3 pbc="T T T"
Li 0.0000 0.0000 0.0000
Sc 1.3262 1.9454 1.7340
Cr -0.3904 0.0000 3.3022
Cr 0.3187 1.9454 4.2308
```

## Properties
energy above the most stable polymorph in this dataset: 136.5 meV per atom

---

No. 6
Material: ZrPb2Au
Method: DFT, PBE
State: optimized geometry

Geometry as extended XYZ:
```
12
Lattice="3.3410 0.0000 0.0000 -1.6705 2.8934 0.0000 0.0000 0.0000 30.4572" Properties=species:S:1:pos:R:3 pbc="T T T"
Zr 0.0000 0.0000 0.0000
Zr 0.0000 1.9289 20.3048
Zr 1.6705 0.9645 10.1524
Pb 0.0000 0.0000 7.4960
Pb 0.0000 0.0000 22.9612
Pb 0.0000 1.9289 12.8088
Pb 0.0000 1.9289 27.8008
Pb 1.6705 0.9645 2.6564
Pb 1.6705 0.9645 17.6484
Au 0.0000 0.0000 15.2286
Au 0.0000 1.9289 5.0762
Au 1.6705 0.9645 25.3810
```

## Properties
energy above the most stable polymorph in this dataset: 257.5 meV per atom

---

No. 7
Material: Rb7IO12
Method: DFT, PBE
State: optimized geometry

Geometry as extended XYZ:
```
20
Lattice="7.4210 4.2845 2.3274 -7.4210 4.2845 2.3274 0.0000 -8.5690 2.3274" Properties=species:S:1:pos:R:3 pbc="T T T"
Rb 0.0000 0.0000 0.0000
Rb -3.3052 0.6271 2.2694
Rb 1.1095 -3.1759 2.2694
Rb -2.1956 -2.5488 4.7130
Rb 2.1956 2.5488 2.2694
Rb -1.1095 3.1759 4.7130
Rb 3.3052 -0.6271 4.7130
I 0.0000 0.0000 3.4912
O -4.7510 -1.9157 3.0970
O -5.8315 -1.7116 3.8940
O -1.4334 -5.9060 3.0883
O -4.3981 4.1944 3.0883
O -0.7164 -5.0723 3.8853
O -4.0345 3.1566 3.8853
O 4.0346 -3.1566 3.0970
O 0.7164 5.0723 3.0970
O 4.3980 -4.1944 3.8940
O 1.4334 5.9060 3.8940
O 5.8315 1.7116 3.0883
O 4.7510 1.9157 3.8853
```

## Properties
energy relative to the elements, uncorrected: -0.85 eV/atom

---

No. 8
Material: Rb2BrF
Method: DFT, PBE
State: optimized geometry

Geometry as extended XYZ:
```
16
Lattice="7.9470 0.0000 0.0000 0.0000 7.9470 0.0000 0.0000 0.0000 9.2474" Properties=species:S:1:pos:R:3 pbc="T T T"
Rb 1.4241 1.9867 1.1559
Rb 1.9867 5.3976 3.4678
Rb 1.9867 6.5228 8.0914
Rb 2.5494 1.9867 5.7796
Rb 5.3976 5.9602 5.7796
Rb 5.9602 1.4241 8.0914
Rb 5.9602 2.5494 3.4678
Rb 6.5228 5.9602 1.1559
Br 0.0000 0.0000 4.6237
Br 0.0000 3.9735 6.9355
Br 3.9735 0.0000 2.3118
Br 3.9735 3.9735 0.0000
F 0.0000 0.0000 0.0000
F 0.0000 3.9735 2.3118
F 3.9735 0.0000 6.9355
F 3.9735 3.9735 4.6237
```

## Properties
energy relative to the elements, uncorrected: -2.14 eV/atom
energy above the most stable polymorph in this dataset: 36.2 meV per atom